Record 1
{
  "formula": "CaZn4Cu2",
  "functional": "PBE-GGA",
  "state": "relaxed",
  "m_tot_mub_per_cell": 0.00,
  "formation_energy_mev_per_atom": -173,
  "dft_energy_ev_per_atom": -2.358,
  "e_above_lowest_polymorph_mev_per_atom": 0,
  "crystal_system": "monoclinic",
  "lattice": [[-3.827, 1.062, 3.149], [-4.789, -2.006, -1.110], [-0.896, -3.305, 4.058]],
  "species": ["Zn", "Zn", "Zn", "Zn", "Cu", "Cu", "Ca"],
  "frac_coords": [[0.307, 0.385, 0.999], [0.693, 0.001, 0.615], [0.307, 0.999, 0.385], [0.693, 0.615, 0.001], [0.249, 0.500, 0.500], [0.751, 0.500, 0.500], [0.000, 0.000, 0.000]]
}


Record 2
{
  "formula": "CaAlB2P",
  "functional": "PBE-GGA",
  "state": "relaxed",
  "m_tot_mub_per_cell": 0.15,
  "formation_energy_mev_per_atom": 2383,
  "dft_energy_ev_per_atom": -2.519,
  "crystal_system": "tetragonal",
  "lattice": [[-1.595, -0.124, 4.375], [-4.721, -2.342, -1.787], [1.881, -4.224, 0.566]],
  "species": ["P", "Al", "Ca", "B", "B"],
  "frac_coords": [[0.500, 0.500, 0.500], [0.000, 0.500, 0.000], [0.000, 0.000, 0.000], [0.500, 0.000, 0.000], [0.000, 0.000, 0.500]]
}


Record 3
{
  "formula": "RbSc2Bi2",
  "functional": "PBE-GGA",
  "state": "relaxed",
  "m_tot_mub_per_cell": 0.98,
  "formation_energy_mev_per_atom": -500,
  "dft_energy_ev_per_atom": -4.779,
  "e_above_lowest_polymorph_mev_per_atom": 0,
  "crystal_system": "tetragonal",
  "lattice": [[-3.982, 0.733, -2.815], [-2.908, -0.865, 3.888], [-3.315, 7.345, 2.283]],
  "species": ["Rb", "Bi", "Bi", "Sc", "Sc"],
  "frac_coords": [[0.000, 0.000, 0.000], [0.640, 0.640, 0.721], [0.360, 0.360, 0.279], [0.250, 0.750, 0.500], [0.750, 0.250, 0.500]]
}


Record 4
{
  "formula": "Rb2CuRe",
  "functional": "PBE-GGA",
  "state": "relaxed",
  "m_tot_mub_per_cell": 7.28,
  "formation_energy_mev_per_atom": 1439,
  "dft_energy_ev_per_atom": -3.181,
  "e_above_lowest_polymorph_mev_per_atom": 0,
  "crystal_system": "tetragonal",
  "lattice": [[12.698, 0.000, 0.000], [0.000, 12.698, 0.000], [6.349, 6.349, 2.423]],
  "species": ["Rb", "Rb", "Rb", "Rb", "Re", "Re", "Cu", "Cu"],
  "frac_coords": [[0.305, 0.625, 0.250], [0.445, 0.125, 0.250], [0.375, 0.555, 0.750], [0.875, 0.695, 0.750], [0.750, 0.250, 0.500], [0.000, 0.000, 0.000], [0.250, 0.750, 0.500], [0.500, 0.500, 0.000]]
}


Record 5
{
  "formula": "SnHS2",
  "functional": "PBE-GGA",
  "state": "relaxed",
  "m_tot_mub_per_cell": 0.00,
  "dft_energy_ev_per_atom": -3.336,
  "e_above_lowest_polymorph_mev_per_atom": 801,
  "crystal_system": "cubic",
  "lattice": [[0.000, 3.195, 3.195], [3.195, 0.000, 3.195], [3.195, 3.195, 0.000]],
  "species": ["Sn", "H", "S", "S"],
  "frac_coords": [[0.500, 0.500, 0.500], [0.000, 0.000, 0.000], [0.250, 0.250, 0.250], [0.750, 0.750, 0.750]]
}


Record 6
{
  "formula": "Nd2ThPN5",
  "functional": "PBE-GGA",
  "state": "relaxed",
  "m_tot_mub_per_cell": 0.00,
  "formation_energy_uncorrected_ev_per_atom": -1.30,
  "dft_energy_ev_per_atom": -8.412,
  "crystal_system": "tetragonal",
  "lattice": [[6.705, 0.000, 0.000], [0.000, 6.705, 0.000], [-3.353, -3.353, 5.430]],
  "species": ["N", "N", "N", "N", "N", "N", "N", "N", "N", "N", "P", "P", "Th", "Th", "Nd", "Nd", "Nd", "Nd"],
  "frac_coords": [[0.705, 0.205, 0.686], [0.019, 0.519, 0.314], [0.000, 0.000, 0.000], [0.481, 0.705, 0.686], [0.500, 0.500, 0.000], [0.205, 0.981, 0.686], [0.795, 0.019, 0.314], [0.519, 0.295, 0.314], [0.981, 0.481, 0.686], [0.295, 0.795, 0.314], [0.750, 0.250, 0.500], [0.250, 0.750, 0.500], [0.250, 0.250, 0.500], [0.750, 0.750, 0.500], [0.325, 0.825, 0.000], [0.825, 0.675, 0.000], [0.675, 0.175, 0.000], [0.175, 0.325, 0.000]]
}


What did the fifth record say?
{
  "formula": "SnHS2",
  "functional": "PBE-GGA",
  "state": "relaxed",
  "m_tot_mub_per_cell": 0.00,
  "dft_energy_ev_per_atom": -3.336,
  "e_above_lowest_polymorph_mev_per_atom": 801,
  "crystal_system": "cubic",
  "lattice": [[0.000, 3.195, 3.195], [3.195, 0.000, 3.195], [3.195, 3.195, 0.000]],
  "species": ["Sn", "H", "S", "S"],
  "frac_coords": [[0.500, 0.500, 0.500], [0.000, 0.000, 0.000], [0.250, 0.250, 0.250], [0.750, 0.750, 0.750]]
}


Repeat the fourth record exactly.
{
  "formula": "Rb2CuRe",
  "functional": "PBE-GGA",
  "state": "relaxed",
  "m_tot_mub_per_cell": 7.28,
  "formation_energy_mev_per_atom": 1439,
  "dft_energy_ev_per_atom": -3.181,
  "e_above_lowest_polymorph_mev_per_atom": 0,
  "crystal_system": "tetragonal",
  "lattice": [[12.698, 0.000, 0.000], [0.000, 12.698, 0.000], [6.349, 6.349, 2.423]],
  "species": ["Rb", "Rb", "Rb", "Rb", "Re", "Re", "Cu", "Cu"],
  "frac_coords": [[0.305, 0.625, 0.250], [0.445, 0.125, 0.250], [0.375, 0.555, 0.750], [0.875, 0.695, 0.750], [0.750, 0.250, 0.500], [0.000, 0.000, 0.000], [0.250, 0.750, 0.500], [0.500, 0.500, 0.000]]
}